No. 1
## Tb4TlCd2Ag (PBE-GGA)

Data for a geometry-optimized Tb4TlCd2Ag structure.

a b c (Å): 9.1972 9.1972 9.1972
angles (deg): 33.42 33.42 33.42
Fractional positions:
Tb1 0.1223 0.1223 0.1223
Tb2 0.3725 0.3725 0.3725
Tb3 0.6275 0.6275 0.6275
Tb4 0.8777 0.8777 0.8777
Tl1 0.5000 0.5000 0.5000
Cd1 0.2496 0.2496 0.2496
Cd2 0.7504 0.7504 0.7504
Ag1 0.0000 0.0000 0.0000

Output
crystal system: trigonal
symmetry: R-3m
calculated formation energy: -0.316 eV per atom
size of the total moment: 0.010 μB per formula unit



No. 2
## ZrIr4Os (PBE-GGA)

Data for a geometry-optimized ZrIr4Os structure.

a b c (Å): 5.1690 5.1690 5.1690
angles (deg): 60.00 60.00 60.00
Fractional positions:
Zr1 0.0000 0.0000 0.0000
Ir1 0.1275 0.6242 0.6242
Ir2 0.6242 0.1275 0.6242
Ir3 0.6242 0.6242 0.1275
Ir4 0.6242 0.6242 0.6242
Os1 0.2500 0.2500 0.2500

Output
crystal system: cubic
symmetry: F-43m
calculated formation energy: 0.038 eV per atom
size of the total moment: 1.434 μB per formula unit



No. 3
## BaMnW2 (PBE-GGA)

Data for a geometry-optimized BaMnW2 structure.

a b c (Å): 4.9015 4.9015 6.5632
angles (deg): 103.32 103.32 38.48
Fractional positions:
Ba1 0.0000 0.0000 0.0000
Mn1 0.2301 0.2301 0.6244
W1 0.5218 0.5218 0.5214
W2 0.7952 0.7952 0.3939

Output
crystal system: monoclinic
relative energy among the computed polymorphs: 203 meV/atom
symmetry: Cm
calculated formation energy: 0.945 eV per atom
size of the total moment: 1.180 μB per formula unit